This record from Alexandria via LeMat-Bulk describes crystalline CrCoPt at its relaxed geometry. The functional is PBE.

Crystal system: trigonal
ΔE to the lowest computed polymorph: 0.1576 eV/atom
Energy relative to the elements: 18.5 kJ/mol of formula units

a = 2.6577 Å, b = 2.6577 Å, c = 6.3188 Å
α = 90.00°, β = 90.00°, γ = 120.00°
Space group P3m1 (No. 156)
Inequivalent atoms, fractional coordinates:
Cr 0.0000 0.0000 0.0000 (multiplicity 1)
Co 0.3333 0.6667 0.7008 (multiplicity 1)
Pt 0.6667 0.3333 0.3462 (multiplicity 1)



This record from Alexandria via LeMat-Bulk describes crystalline BaLaMnTe2 at its relaxed geometry. The functional is PBE.

Crystal system: tetragonal
Raw formation energy: 1.36 eV per formula unit

a = 6.277 Å, b = 6.277 Å, c = 5.395 Å
α = 90.00°, β = 90.00°, γ = 90.00°
Space group P4/mmm (No. 123)
Inequivalent atoms, fractional coordinates:
Ba 0.000 0.000 0.000 (multiplicity 1)
La 0.500 0.500 0.500 (multiplicity 1)
Mn 0.000 0.000 0.500 (multiplicity 1)
Te 0.000 0.500 0.000 (multiplicity 2)



This record from Alexandria via LeMat-Bulk describes crystalline Ag3Ir at its relaxed geometry. The functional is PBE.

Crystal system: trigonal
Energy relative to the elements: 91.2 kJ/mol of formula units

a = 2.8180 Å, b = 2.8180 Å, c = 29.1948 Å
α = 90.00°, β = 90.00°, γ = 120.00°
Space group R-3m (No. 166, hexagonal axes)
Inequivalent atoms, fractional coordinates:
Ag 0.0000 0.0000 0.0000 (multiplicity 3)
Ag 0.0000 0.0000 0.2483 (multiplicity 6)
Ir 0.0000 0.0000 0.5000 (multiplicity 3)



This record from Alexandria via LeMat-Bulk describes crystalline LiTlBiCl5 at its relaxed geometry. The functional is PBE.

Crystal system: monoclinic
Raw formation energy: -9.68 eV per formula unit

a = 9.008 Å, b = 12.258 Å, c = 10.166 Å
α = 90.00°, β = 114.04°, γ = 90.00°
Space group C2/c (No. 15)
Inequivalent atoms, fractional coordinates:
Li 0.000 0.193 0.250 (multiplicity 4)
Tl 0.000 0.144 0.750 (multiplicity 4)
Bi 0.000 0.500 0.000 (multiplicity 4)
Cl 0.000 0.415 0.750 (multiplicity 4)
Cl 0.112 0.300 0.114 (multiplicity 8)
Cl 0.187 0.068 0.426 (multiplicity 8)



This record from Alexandria via LeMat-Bulk describes crystalline SiBr2Cl at its relaxed geometry. The functional is PBE.

Crystal system: cubic
ΔE to the lowest computed polymorph: 0.8845 eV/atom
Raw formation energy: 1.63 eV per formula unit

a = 7.182 Å, b = 7.182 Å, c = 7.182 Å
α = 90.00°, β = 90.00°, γ = 90.00°
Space group F-43m (No. 216)
Inequivalent atoms, fractional coordinates:
Si 0.000 0.000 0.000 (multiplicity 4)
Br 0.000 0.000 0.500 (multiplicity 4)
Br 0.250 0.250 0.750 (multiplicity 4)
Cl 0.250 0.250 0.250 (multiplicity 4)



This record from Alexandria via LeMat-Bulk describes crystalline Cd3HgTe at its relaxed geometry. The functional is PBE.

Crystal system: cubic
ΔE to the lowest computed polymorph: 0.0000 eV/atom
Raw formation energy: 1.25 eV per formula unit

a = 5.437 Å, b = 5.437 Å, c = 5.437 Å
α = 90.00°, β = 90.00°, γ = 90.00°
Space group Pm-3m (No. 221)
Inequivalent atoms, fractional coordinates:
Cd 0.000 0.000 0.500 (multiplicity 3)
Hg 0.000 0.000 0.000 (multiplicity 1)
Te 0.500 0.500 0.500 (multiplicity 1)



This record from Alexandria via LeMat-Bulk describes crystalline Be2TlO at its relaxed geometry. The functional is PBE.

Crystal system: cubic
ΔE to the lowest computed polymorph: 1.4927 eV/atom
Raw formation energy: 3.33 eV per formula unit

a = 5.996 Å, b = 5.996 Å, c = 5.996 Å
α = 90.00°, β = 90.00°, γ = 90.00°
Space group Fm-3m (No. 225)
Inequivalent atoms, fractional coordinates:
Be 0.250 0.250 0.250 (multiplicity 8)
Tl 0.000 0.000 0.000 (multiplicity 4)
O 0.000 0.000 0.500 (multiplicity 4)



This record from Alexandria via LeMat-Bulk describes crystalline TaBeOs3 at its relaxed geometry. The functional is PBE.

Crystal system: cubic
ΔE to the lowest computed polymorph: 0.0000 eV/atom
Energy relative to the elements: 78.6 kJ/mol of formula units

a = 4.125 Å, b = 4.125 Å, c = 4.125 Å
α = 90.00°, β = 90.00°, γ = 90.00°
Space group Pm-3m (No. 221)
Inequivalent atoms, fractional coordinates:
Ta 0.000 0.000 0.000 (multiplicity 1)
Be 0.500 0.500 0.500 (multiplicity 1)
Os 0.000 0.500 0.500 (multiplicity 3)



In the order shown, the computed total magnetic moment values come out to 0.77; 4.00; 0.30; 0.00; 0.64; 0.00; 1.15; 0.00 μB per formula unit.